Sc2MoRh: relaxed, PBE.

The structure belongs to space group Pmmm (No. 47); the cell edges are 3.2833, 4.2685 and 5.0120 Å and the angles 90.00°, 90.00° and 90.00°. The inequivalent atoms are Sc at (0.0000, 0.0000, 0.0000), Sc at (0.5000, 0.0000, 0.5000), Mo at (0.0000, 0.5000, 0.5000) and Rh at (0.5000, 0.5000, 0.0000).

The total energy is -7.8735 eV/atom.

***

Sc2MoRh: relaxed, PBE.

The structure belongs to space group P4mm (No. 99); the cell edges are 2.9815, 2.9815 and 8.5178 Å and the angles 90.00°, 90.00° and 90.00°. The inequivalent atoms are Sc at (0.0000, 0.0000, 0.0000), Sc at (0.5000, 0.5000, 0.3402), Mo at (0.0000, 0.0000, 0.5821) and Rh at (0.5000, 0.5000, 0.7813).

The total energy is -7.8892 eV/atom.

***

ScMo3Rh: relaxed, PBE.

The structure belongs to space group Pm-3m (No. 221); the cell edges are 4.5183, 4.5183 and 4.5183 Å and the angles 90.00°, 90.00° and 90.00°. The inequivalent atoms are Sc at (0.0000, 0.0000, 0.0000), Mo at (0.0000, 0.0000, 0.5000) and Rh at (0.5000, 0.5000, 0.5000).

The offset from the most stable computed form is 701 meV/atom.

***

Q: Which magnetization values were calculated for the entries above? A: 0.00 0.00 0.00, in μB/cell.